# NaCa2In

A relaxed NaCa2In crystal (PBE-GGA, the Alexandria database).

a b c (Å): 3.830 3.830 33.855
angles (deg): 90.00 90.00 120.00
Element x y z (fractional)
Na 0.000 0.000 0.000
Na 0.333 0.667 0.667
Na 0.667 0.333 0.333
Ca 0.000 0.000 0.572
Ca 0.000 0.000 0.761
Ca 0.333 0.667 0.239
Ca 0.333 0.667 0.427
Ca 0.667 0.333 0.094
Ca 0.667 0.333 0.905
In 0.000 0.000 0.166
In 0.333 0.667 0.833
In 0.667 0.333 0.500

Output
* total moment: 0.000 μB/f.u.
* formation energy from the elements: -0.108 eV per atom
* symmetry: R3m
* calculated total energy: -2.123 eV/atom

=====

# MnBeSe2

A relaxed MnBeSe2 crystal (PBE-GGA, the Alexandria database).

a b c (Å): 12.311 3.496 3.834
angles (deg): 90.00 96.58 90.00
Element x y z (fractional)
Mn 0.000 0.000 0.000
Mn 0.500 0.500 0.000
Be 0.260 0.000 0.237
Be 0.760 0.500 0.237
Se 0.181 0.500 0.003
Se 0.427 0.000 0.463
Se 0.681 0.000 0.003
Se 0.927 0.500 0.463

Output
* total moment: 4.910 μB/f.u.
* symmetry: Cm
* ΔE_f (raw): -1.3 eV per formula unit
* calculated total energy: -5.282 eV/atom

=====

# SmThIrSe

A relaxed SmThIrSe crystal (PBE-GGA, the Alexandria database).

a b c (Å): 4.105 4.105 22.177
angles (deg): 90.00 90.00 120.00
Element x y z (fractional)
Sm 0.000 0.000 0.000
Sm 0.333 0.667 0.667
Sm 0.667 0.333 0.333
Th 0.000 0.000 0.189
Th 0.333 0.667 0.856
Th 0.667 0.333 0.523
Ir 0.000 0.000 0.591
Ir 0.333 0.667 0.258
Ir 0.667 0.333 0.924
Se 0.000 0.000 0.761
Se 0.333 0.667 0.428
Se 0.667 0.333 0.094

Output
* total moment: 0.000 μB/f.u.
* symmetry: R3m
* ΔE_f (raw): -5.0 eV per formula unit
* calculated total energy: -7.383 eV/atom

=====

# InPtBr2

A relaxed InPtBr2 crystal (PBE-GGA, the Alexandria database).

a b c (Å): 3.755 5.893 10.197
angles (deg): 90.00 90.00 90.00
Element x y z (fractional)
In 0.000 0.000 0.000
In 0.500 0.500 0.500
Pt 0.000 0.000 0.500
Pt 0.500 0.500 0.000
Br 0.000 0.500 0.171
Br 0.000 0.500 0.829
Br 0.500 0.000 0.329
Br 0.500 0.000 0.671

Output
* energy above the lowest structure with this stoichiometry: 206 meV/atom
* total moment: 0.692 μB/f.u.
* symmetry: Immm
* ΔE_f (raw): -0.4 eV per formula unit
* calculated total energy: -3.141 eV/atom

=====

# Cs2ZrCl6O

A relaxed Cs2ZrCl6O crystal (PBE-GGA, the Alexandria database).

a b c (Å): 7.855 7.855 7.855
angles (deg): 122.85 122.85 85.13
Element x y z (fractional)
Cs 0.250 0.750 0.500
Cs 0.750 0.250 0.500
Zr 0.000 0.000 0.000
Cl 0.215 0.215 0.000
Cl 0.234 0.234 0.469
Cl 0.234 0.766 0.000
Cl 0.766 0.234 0.000
Cl 0.766 0.766 0.531
Cl 0.785 0.785 0.000
O 0.500 0.500 0.000

Output
* total moment: 2.000 μB/f.u.
* symmetry: I4/mmm
* ΔE_f (raw): -15.0 eV per formula unit
* calculated total energy: -4.127 eV/atom

=====

# PmCdPd2

A relaxed PmCdPd2 crystal (PBE-GGA, the Alexandria database).

a b c (Å): 3.500 3.500 6.658
angles (deg): 90.00 90.00 90.00
Element x y z (fractional)
Pm 0.000 0.000 0.000
Cd 0.000 0.000 0.500
Pd 0.500 0.500 0.274
Pd 0.500 0.500 0.726

Output
* energy above the lowest structure with this stoichiometry: 73 meV/atom
* total moment: 0.000 μB/f.u.
* formation energy from the elements: -0.594 eV per atom
* symmetry: P4/mmm
* calculated total energy: -4.607 eV/atom

=====

Q: Number 2 is which compound?
A: MnBeSe2

=====

Q: What is the formula in the fifth record?
A: Cs2ZrCl6O

=====

Q: What is the calculated total energy in the second record?
A: -5.282 eV/atom